An optimized crystal structure of CdAs3N, computed with PBE-GGA.

Output
Space-group type: Pm-3m (221)
DFT total energy in eV per atom: -2.43
Raw formation energy in eV per atom: 2.21
Density in g cm⁻³: 4.40
Total magnetic moment in μB per formula unit: 0.0
Calculated volume in Å³/f.u.: 133

Cell and atoms, written as extended XYZ:
```
5
Lattice="5.100 0.000 0.000 0.000 5.100 0.000 0.000 0.000 5.100" Properties=species:S:1:pos:R:3 pbc="T T T"
Cd 0.000 0.000 0.000
As 0.000 0.000 2.550
As 0.000 2.550 0.000
As 2.550 0.000 0.000
N 2.550 2.550 2.550
```